P:
An optimized crystal structure of Er2AuSe. Source: Alexandria via LeMat-Bulk, functional PBE.

Summary:
- Crystal system: trigonal

Cell lengths 3.8970, 3.8970, 22.6917 Å; angles 90.00, 90.00, 120.00 degrees
Space group R3m (No. 160, hexagonal axes)
Unique sites:
Er: 0.0000 0.0000 0.0000 (multiplicity 3)
Er: 0.0000 0.0000 0.1706 (multiplicity 3)
Au: 0.0000 0.0000 0.5841 (multiplicity 3)
Se: 0.0000 0.0000 0.7538 (multiplicity 3)



Q:
An optimized crystal structure of Er2AuSe. Source: Alexandria via LeMat-Bulk, functional PBE.

Summary:
- Crystal system: orthorhombic

Cell lengths 3.955, 22.725, 4.221 Å; angles 90.00, 90.00, 90.00 degrees
Space group Cmcm (No. 63)
Unique sites:
Er: 0.000 0.067 0.250 (multiplicity 4)
Er: 0.000 0.320 0.250 (multiplicity 4)
Au: 0.000 0.454 0.250 (multiplicity 4)
Se: 0.000 0.194 0.250 (multiplicity 4)



What should be chosen as the least stable of them? Choose P.



P:
An optimized crystal structure of SmEr2Au. Source: Alexandria via LeMat-Bulk, functional PBE.

Summary:
- Crystal system: orthorhombic

Cell lengths 4.919, 11.928, 7.768 Å; angles 90.00, 90.00, 90.00 degrees
Space group Cmcm (No. 63)
Unique sites:
Sm: 0.000 0.046 0.250 (multiplicity 4)
Er: 0.000 0.354 0.036 (multiplicity 8)
Au: 0.000 0.205 0.750 (multiplicity 4)



Q:
An optimized crystal structure of SmEr2Au. Source: Alexandria via LeMat-Bulk, functional PBE.

Summary:
- Crystal system: tetragonal

Cell lengths 3.601, 3.601, 8.522 Å; angles 90.00, 90.00, 90.00 degrees
Space group P4/mmm (No. 123)
Unique sites:
Sm: 0.000 0.000 0.000 (multiplicity 1)
Er: 0.500 0.500 0.298 (multiplicity 2)
Au: 0.000 0.000 0.500 (multiplicity 1)



What should be chosen as the least stable of them? Choose Q.